# 1
First-principles (PBE) data for Mg2CuAg after structural relaxation, as listed in Alexandria.

Computed properties:
Calculated density ... 5.294 g cm⁻³
Symmetry ... Imm2 (44)
Formation energy from the elements ... -123 meV/atom
DFT total energy ... -2.6572 eV per atom

POSCAR file:
```
Mg2CuAg
1.0
-2.396 -2.836 -3.802
2.850 -0.963 -4.381
0.129 -0.612 5.277
Mg Cu Ag
2 1 1
Direct
0.016 0.016 0.000
0.744 0.244 0.500
0.254 0.754 0.500
0.486 0.486 0.000
```



# 2
First-principles (PBE) data for Mg2CuAg after structural relaxation, as listed in Alexandria.

Computed properties:
Calculated density ... 5.177 g cm⁻³
Symmetry ... C2/m (12)
Formation energy from the elements ... -10 meV/atom
DFT total energy ... -2.5442 eV per atom

POSCAR file:
```
Mg2CuAg
1.0
-0.518 -4.712 -0.624
1.403 -4.302 1.543
-3.883 -0.857 3.604
Ag Cu Mg
1 1 2
Direct
0.250 0.250 0.250
0.750 0.750 0.750
0.004 0.004 0.991
0.496 0.496 0.509
```



# 3
First-principles (PBE) data for MgCu2Ag after structural relaxation, as listed in Alexandria.

Computed properties:
Calculated density ... 7.073 g cm⁻³
Symmetry ... C2/m (12)
Formation energy from the elements ... 11 meV/atom
DFT total energy ... -3.1488 eV per atom

POSCAR file:
```
MgCu2Ag
1.0
4.822 -0.001 0.002
3.893 2.844 0.002
1.070 0.349 4.438
Ag Cu Mg
1 2 1
Direct
0.750 0.750 0.750
0.001 0.001 0.998
0.499 0.499 0.502
0.250 0.250 0.250
```



# 4
First-principles (PBE) data for MgCu2Ag after structural relaxation, as listed in Alexandria.

Computed properties:
Calculated density ... 7.100 g cm⁻³
Symmetry ... P2/m (10)
Formation energy from the elements ... 5 meV/atom
DFT total energy ... -3.1544 eV per atom

POSCAR file:
```
MgCu2Ag
1.0
-1.604 -0.869 2.226
3.078 -3.442 0.875
4.412 0.361 3.320
Ag Cu Mg
1 2 1
Direct
0.000 0.000 0.500
0.000 0.000 0.000
0.500 0.500 0.000
0.500 0.500 0.500
```



Repeat the second record exactly.
First-principles (PBE) data for Mg2CuAg after structural relaxation, as listed in Alexandria.

Computed properties:
Calculated density ... 5.177 g cm⁻³
Symmetry ... C2/m (12)
Formation energy from the elements ... -10 meV/atom
DFT total energy ... -2.5442 eV per atom

POSCAR file:
```
Mg2CuAg
1.0
-0.518 -4.712 -0.624
1.403 -4.302 1.543
-3.883 -0.857 3.604
Ag Cu Mg
1 1 2
Direct
0.250 0.250 0.250
0.750 0.750 0.750
0.004 0.004 0.991
0.496 0.496 0.509
```